# 1
The following is a GGA-PBEsol calculation of an optimized crystal structure of KCrPCO7, from the Alexandria database.

a = 5.053 Å, b = 6.152 Å, c = 9.408 Å
α = 90.00°, β = 81.36°, γ = 90.00°
Each line ends with the local moment (μB).
Fractional coordinates of all 22 atoms:
1 K 0.591 0.353 0.845  0.00
2 K 0.409 0.853 0.155  0.00
3 Cr 0.228 0.766 0.659  2.01
4 Cr 0.772 0.266 0.341  2.01
5 P 0.199 0.264 0.563  0.01
6 P 0.801 0.764 0.437  0.01
7 C 0.038 0.766 0.905  0.01
8 C 0.962 0.266 0.095  0.01
9 O 0.064 0.274 0.967  -0.01
10 O 0.299 0.764 0.857  -0.02
11 O 0.903 0.759 0.794  -0.03
12 O 0.228 0.067 0.662  -0.03
13 O 0.228 0.460 0.661  -0.03
14 O 0.585 0.761 0.569  -0.01
15 O 0.918 0.265 0.518  -0.01
16 O 0.082 0.765 0.482  -0.01
17 O 0.415 0.261 0.431  -0.01
18 O 0.772 0.960 0.339  -0.03
19 O 0.772 0.567 0.338  -0.03
20 O 0.097 0.259 0.206  -0.03
21 O 0.701 0.264 0.143  -0.02
22 O 0.936 0.774 0.033  -0.01

Properties
The total energy comes out at -7.6672 eV per atom. For the energy relative to the elements, uncorrected, the calculation gives -1.889 eV/atom. The value obtained for the density of states at the Fermi level is 6.75 states/eV/cell. The space-group type is P2_1.

# 2
The following is a GGA-PBEsol calculation of an optimized crystal structure of K3CrPCO7, from the Alexandria database.

a = 5.637 Å, b = 6.577 Å, c = 9.855 Å
α = 90.00°, β = 92.07°, γ = 90.00°
Each line ends with the local moment (μB).
Fractional coordinates of all 26 atoms:
1 K 0.759 0.250 0.420  0.00
2 K 0.241 0.010 0.226  0.00
3 K 0.241 0.490 0.226  0.00
4 K 0.759 0.510 0.774  0.00
5 K 0.759 0.990 0.774  0.00
6 K 0.241 0.750 0.580  0.00
7 Cr 0.749 0.750 0.146  3.60
8 Cr 0.251 0.250 0.854  3.60
9 P 0.702 0.250 0.077  0.02
10 P 0.298 0.750 0.923  0.02
11 C 0.725 0.750 0.423  0.01
12 C 0.275 0.250 0.577  0.01
13 O 0.233 0.250 0.448  0.00
14 O 0.904 0.750 0.340  -0.02
15 O 0.512 0.750 0.371  0.02
16 O 0.745 0.060 0.171  -0.01
17 O 0.745 0.440 0.171  -0.01
18 O 0.434 0.250 0.031  0.01
19 O 0.131 0.750 0.042  0.02
20 O 0.869 0.250 0.958  0.02
21 O 0.566 0.750 0.969  0.01
22 O 0.255 0.560 0.829  -0.01
23 O 0.255 0.940 0.829  -0.01
24 O 0.488 0.250 0.629  0.02
25 O 0.096 0.250 0.660  -0.02
26 O 0.767 0.750 0.552  0.00

Properties
The total energy comes out at -6.9737 eV per atom. For the energy relative to the elements, uncorrected, the calculation gives -1.910 eV/atom. The space-group type is P2_1/m.

# 3
The following is a GGA-PBEsol calculation of an optimized crystal structure of KCrTe2C, from the Alexandria database.

a = 3.915 Å, b = 5.264 Å, c = 5.264 Å
α = 90.00°, β = 90.00°, γ = 90.00°
Each line ends with the local moment (μB).
Fractional coordinates of all 5 atoms:
1 Cr 0.500 0.000 0.000  2.89
2 K 0.500 0.500 0.500  0.00
3 Te 0.000 0.000 0.500  -0.13
4 Te 0.000 0.500 0.000  -0.13
5 C 0.000 0.000 0.000  -0.17

Properties
The total energy comes out at -5.0899 eV per atom. For the energy relative to the elements, uncorrected, the calculation gives 0.524 eV/atom. The value obtained for the density of states at the Fermi level is 2.03 states/eV/cell. The space-group type is P4/mmm.

# 4
The following is a GGA-PBEsol calculation of an optimized crystal structure of LiCrOsC2, from the Alexandria database.

a = 3.688 Å, b = 3.688 Å, c = 3.782 Å
α = 90.00°, β = 90.00°, γ = 90.00°
Fractional coordinates of all 5 atoms:
1 Cr 0.000 0.000 0.000
2 C 0.000 0.500 0.000
3 C 0.500 0.000 0.000
4 Os 0.500 0.500 0.500
5 Li 0.000 0.000 0.500

Properties
The total energy comes out at -6.7655 eV per atom. For the energy of formation, the calculation gives 1.9769 eV per atom. The value obtained for the density of states at the Fermi level is 3.88 states/eV/cell. The space-group type is P4/mmm.

# 5
The following is a GGA-PBEsol calculation of an optimized crystal structure of MgCr2C, from the Alexandria database.

a = 3.980 Å, b = 3.980 Å, c = 3.980 Å
α = 60.00°, β = 60.00°, γ = 60.00°
Each line ends with the local moment (μB).
Fractional coordinates of all 4 atoms:
1 Cr 0.250 0.250 0.250  2.26
2 Cr 0.750 0.750 0.750  2.26
3 Mg 0.500 0.500 0.500  0.06
4 C 0.000 0.000 0.000  -0.09

Properties
The total energy comes out at -6.5867 eV per atom. For the energy of formation, the calculation gives 1.3746 eV per atom. The value obtained for the density of states at the Fermi level is 3.11 states/eV/cell. The space-group type is Fm-3m.

# 6
The following is a GGA-PBEsol calculation of an optimized crystal structure of MgNbCr2C, from the Alexandria database.

a = 4.374 Å, b = 4.374 Å, c = 4.846 Å
α = 90.00°, β = 90.00°, γ = 90.00°
Each line ends with the local moment (μB).
Fractional coordinates of all 5 atoms:
1 C 0.500 0.500 0.500  -0.17
2 Cr 0.000 0.500 0.000  3.26
3 Cr 0.500 0.000 0.000  3.26
4 Nb 0.000 0.000 0.500  -0.40
5 Mg 0.000 0.000 0.000  0.04

Properties
The total energy comes out at -5.4557 eV per atom. For the energy of formation, the calculation gives 3.0776 eV per atom. The value obtained for the density of states at the Fermi level is 4.69 states/eV/cell. The space-group type is P4/mmm.

# 7
The following is a GGA-PBEsol calculation of an optimized crystal structure of YMgCr2C, from the Alexandria database.

a = 4.586 Å, b = 4.586 Å, c = 5.586 Å
α = 90.00°, β = 90.00°, γ = 90.00°
Each line ends with the local moment (μB).
Fractional coordinates of all 5 atoms:
1 Y 0.000 0.000 0.500  -0.14
2 Cr 0.000 0.500 0.000  3.66
3 Cr 0.500 0.000 0.000  3.66
4 Mg 0.000 0.000 0.000  0.02
5 C 0.500 0.500 0.500  -0.43

Properties
The total energy comes out at -5.1974 eV per atom. For the energy of formation, the calculation gives 2.5360 eV per atom. The value obtained for the density of states at the Fermi level is 5.95 states/eV/cell. The space-group type is P4/mmm.

# 8
The following is a GGA-PBEsol calculation of an optimized crystal structure of SrCrMo2C, from the Alexandria database.

a = 4.563 Å, b = 4.687 Å, c = 4.687 Å
α = 90.00°, β = 90.00°, γ = 90.00°
Each line ends with the local moment (μB).
Fractional coordinates of all 5 atoms:
1 Sr 0.000 0.000 0.000  0.03
2 Mo 0.000 0.000 0.500  -0.91
3 Mo 0.000 0.500 0.000  -0.91
4 C 0.500 0.500 0.500  -0.03
5 Cr 0.500 0.000 0.000  3.13

Properties
The total energy comes out at -4.8403 eV per atom. For the energy of formation, the calculation gives 4.2121 eV per atom. The value obtained for the density of states at the Fermi level is 6.20 states/eV/cell. The space-group type is P4/mmm.